[1]
Density functional theory data (PBE) for a relaxed YTaCd2 crystal.

Unit cell a=4.340 b=4.340 c=9.522 alpha=90.00 beta=90.00 gamma=90.00
Space group I-4m2 (No. 119)
One atom of each set of equivalent atoms:
1 Y 0.000 0.000 0.000 [2 per cell]
2 Ta 0.000 0.500 0.250 [2 per cell]
3 Cd 0.000 0.000 0.500 [2 per cell]
4 Cd 0.000 0.500 0.750 [2 per cell]

Computed properties:
E_form: 1.201 eV per formula unit
crystal system: tetragonal
density of states at the Fermi level: 8.3 states/eV/cell
total magnetic moment: 1.093 μB/f.u.
total DFT energy (no corrections): -4.74 eV per atom

---

[2]
Density functional theory data (PBE) for a relaxed TcMoP crystal.

Unit cell a=2.899 b=4.027 c=7.381 alpha=90.00 beta=90.00 gamma=90.00
Space group Imm2 (No. 44)
One atom of each set of equivalent atoms:
1 Tc 0.000 0.000 0.000 [2 per cell]
2 Mo 0.000 0.000 0.337 [2 per cell]
3 P 0.000 0.000 0.670 [2 per cell]

Computed properties:
E_form: -0.200 eV per formula unit
crystal system: orthorhombic
density of states at the Fermi level: 3.3 states/eV/cell
total magnetic moment: 0.000 μB/f.u.
total DFT energy (no corrections): -8.94 eV per atom

---

[3]
Density functional theory data (PBE) for a relaxed Pr2Y3Pt4 crystal.

Unit cell a=7.665 b=7.698 c=7.919 alpha=90.00 beta=108.99 gamma=90.00
Space group P2_1/c (No. 14)
One atom of each set of equivalent atoms:
1 Pr 0.198 0.177 0.085 [4 per cell]
2 Y 0.244 0.665 0.249 [4 per cell]
3 Y 0.500 0.000 0.500 [2 per cell]
4 Pt 0.092 0.537 0.867 [4 per cell]
5 Pt 0.498 0.133 0.873 [4 per cell]

Computed properties:
E_form: -10.051 eV per formula unit
crystal system: monoclinic
density of states at the Fermi level: 11.8 states/eV/cell
total magnetic moment: 0.000 μB/f.u.
total DFT energy (no corrections): -7.02 eV per atom

---

[4]
Density functional theory data (PBE) for a relaxed PmHoCo2 crystal.

Unit cell a=4.778 b=4.778 c=3.389 alpha=90.00 beta=90.00 gamma=90.00
Space group P4/mmm (No. 123)
One atom of each set of equivalent atoms:
1 Pm 0.000 0.000 0.000 [1 per cell]
2 Ho 0.500 0.500 0.000 [1 per cell]
3 Co 0.000 0.500 0.500 [2 per cell]

Computed properties:
E_form: -0.272 eV per formula unit
crystal system: tetragonal
density of states at the Fermi level: 1.4 states/eV/cell
total magnetic moment: 0.792 μB/f.u.
total DFT energy (no corrections): -5.95 eV per atom

---

[5]
Density functional theory data (PBE) for a relaxed Y2ReAu crystal.

Unit cell a=3.494 b=3.463 c=7.261 alpha=90.00 beta=90.14 gamma=90.00
Space group P2/m (No. 10)
One atom of each set of equivalent atoms:
1 Y 0.001 0.000 0.269 [2 per cell]
2 Re 0.500 0.500 0.500 [1 per cell]
3 Au 0.500 0.500 0.000 [1 per cell]

Computed properties:
E_form: -1.108 eV per formula unit
crystal system: monoclinic
density of states at the Fermi level: 2.6 states/eV/cell
total magnetic moment: 0.000 μB/f.u.
total DFT energy (no corrections): -7.44 eV per atom

---

[6]
Density functional theory data (PBE) for a relaxed Tb5Sm2Th2 crystal.

Unit cell a=22.676 b=3.483 c=8.037 alpha=90.00 beta=98.83 gamma=90.00
Space group C2/m (No. 12)
One atom of each set of equivalent atoms:
1 Tb 0.000 0.000 0.000 [2 per cell]
2 Tb 0.091 0.000 0.731 [4 per cell]
3 Tb 0.193 0.500 0.547 [4 per cell]
4 Sm 0.175 0.000 0.151 [4 per cell]
5 Th 0.053 0.500 0.356 [4 per cell]

Computed properties:
E_form: 2.409 eV per formula unit
crystal system: monoclinic
density of states at the Fermi level: 26.7 states/eV/cell
total magnetic moment: 0.000 μB/f.u.
total DFT energy (no corrections): -5.00 eV per atom

---

[7]
Density functional theory data (PBE) for a relaxed CaMnZn17 crystal.

Unit cell a=8.9276 b=8.9276 c=13.1700 alpha=90.00 beta=90.00 gamma=120.00
Space group R3m (No. 160, hexagonal axes)
One atom of each set of equivalent atoms:
1 Ca 0.0000 0.0000 0.0000 [3 per cell]
2 Mn 0.0000 0.0000 0.6555 [3 per cell]
3 Zn 0.0000 0.0000 0.2436 [3 per cell]
4 Zn 0.0000 0.0000 0.4432 [3 per cell]
5 Zn 0.0065 0.3052 0.3366 [18 per cell]
6 Zn 0.0114 0.5057 0.1904 [9 per cell]
7 Zn 0.0189 0.5094 0.8317 [9 per cell]
8 Zn 0.0319 0.5159 0.4876 [9 per cell]

Computed properties:
E_form: -0.664 eV per formula unit
crystal system: trigonal
density of states at the Fermi level: 15.1 states/eV/cell
total magnetic moment: 3.563 μB/f.u.
total DFT energy (no corrections): -1.76 eV per atom

---

[8]
Density functional theory data (PBE) for a relaxed LaSmGaAg crystal.

Unit cell a=7.505 b=7.505 c=7.505 alpha=90.00 beta=90.00 gamma=90.00
Space group F-43m (No. 216)
One atom of each set of equivalent atoms:
1 La 0.000 0.000 0.000 [4 per cell]
2 Sm 0.000 0.000 0.500 [4 per cell]
3 Ga 0.250 0.250 0.250 [4 per cell]
4 Ag 0.250 0.250 0.750 [4 per cell]

Computed properties:
E_form: -1.643 eV per formula unit
crystal system: cubic
density of states at the Fermi level: 17.2 states/eV/cell
total magnetic moment: 0.008 μB/f.u.
total DFT energy (no corrections): -4.29 eV per atom

---

[9]
Density functional theory data (PBE) for a relaxed K2TcPb crystal.

Unit cell a=4.452 b=4.452 c=11.783 alpha=90.00 beta=90.00 gamma=90.00
Space group I4/mmm (No. 139)
One atom of each set of equivalent atoms:
1 K 0.000 0.500 0.250 [4 per cell]
2 Tc 0.000 0.000 0.000 [2 per cell]
3 Pb 0.000 0.000 0.500 [2 per cell]

Computed properties:
E_form: 3.445 eV per formula unit
crystal system: tetragonal
density of states at the Fermi level: 3.2 states/eV/cell
total magnetic moment: 2.998 μB/f.u.
total DFT energy (no corrections): -3.21 eV per atom

---

[10]
Density functional theory data (PBE) for a relaxed TaPHO2 crystal.

Unit cell a=3.850 b=3.850 c=5.336 alpha=90.00 beta=90.00 gamma=90.00
Space group P4/mmm (No. 123)
One atom of each set of equivalent atoms:
1 Ta 0.000 0.000 0.000 [1 per cell]
2 P 0.000 0.000 0.500 [1 per cell]
3 H 0.500 0.500 0.500 [1 per cell]
4 O 0.000 0.500 0.000 [2 per cell]

Computed properties:
crystal system: tetragonal
density of states at the Fermi level: 0.9 states/eV/cell
total magnetic moment: 0.903 μB/f.u.
total DFT energy (no corrections): -6.91 eV per atom

---

[11]
Density functional theory data (PBE) for a relaxed NaPtW crystal.

Unit cell a=4.750 b=2.943 c=7.878 alpha=90.00 beta=103.11 gamma=90.00
Space group Cm (No. 8)
One atom of each set of equivalent atoms:
1 Na 0.000 0.000 0.000 [2 per cell]
2 Pt 0.497 0.000 0.341 [2 per cell]
3 W 0.250 0.000 0.622 [2 per cell]

Computed properties:
E_form: 0.941 eV per formula unit
crystal system: monoclinic
density of states at the Fermi level: 4.3 states/eV/cell
total magnetic moment: 0.000 μB/f.u.
total DFT energy (no corrections): -6.46 eV per atom

---

[12]
Density functional theory data (PBE) for a relaxed AcNd3Dy3 crystal.

Unit cell a=9.8174 b=9.8174 c=5.8953 alpha=90.00 beta=90.00 gamma=120.00
Space group P6_3/m (No. 176)
One atom of each set of equivalent atoms:
1 Ac 0.3333 0.6667 0.2500 [2 per cell]
2 Nd 0.0942 0.4700 0.7500 [6 per cell]
3 Dy 0.0431 0.2292 0.2500 [6 per cell]

Computed properties:
E_form: 0.278 eV per formula unit
crystal system: hexagonal
density of states at the Fermi level: 23.4 states/eV/cell
total magnetic moment: 0.000 μB/f.u.
total DFT energy (no corrections): -4.56 eV per atom